[1]
Material: Cr2BiMoOsRh
Method: DFT, PBE
State: optimized geometry

Unit cell a=3.0425 b=4.2161 c=7.5083 alpha=90.00 beta=90.20 gamma=90.00
Space group Pm (No. 6)
Asymmetric unit:
Cr 0.0000 0.0000 0.0000 [1 per cell]
Cr 0.4978 0.0000 0.7699 [1 per cell]
Bi 0.5035 0.0000 0.4006 [1 per cell]
Mo 0.4997 0.5000 0.9657 [1 per cell]
Os 0.0017 0.5000 0.2525 [1 per cell]
Rh 0.9983 0.5000 0.6456 [1 per cell]

Properties
Its density of states at the Fermi level is 5.74 states/eV per cell.

=====

[2]
Material: Cr2BiMoOsRh
Method: DFT, PBE
State: optimized geometry

Unit cell a=2.9547 b=4.6257 c=7.0762 alpha=95.70 beta=90.35 gamma=94.28
Space group P1 (No. 1)
Asymmetric unit:
Cr 0.0000 0.0000 0.0000 [1 per cell]
Cr 0.3486 0.8483 0.7539 [1 per cell]
Bi 0.0114 0.7448 0.3693 [1 per cell]
Mo 0.9944 0.2826 0.6615 [1 per cell]
Os 0.6095 0.4799 0.9589 [1 per cell]
Rh 0.5112 0.2408 0.3030 [1 per cell]

Properties
Its density of states at the Fermi level is 5.26 states/eV per cell.

=====

[3]
Material: Cr2BiMoOsRh
Method: DFT, PBE
State: optimized geometry

Unit cell a=2.9685 b=4.1335 c=8.3342 alpha=90.00 beta=100.32 gamma=90.00
Space group Pm (No. 6)
Asymmetric unit:
Cr 0.0000 0.0000 0.0000 [1 per cell]
Cr 0.3957 0.0000 0.7897 [1 per cell]
Bi 0.7311 0.5000 0.4581 [1 per cell]
Mo 0.5401 0.5000 0.0747 [1 per cell]
Os 0.8997 0.5000 0.7969 [1 per cell]
Rh 0.1481 0.0000 0.2941 [1 per cell]

Properties
Its density of states at the Fermi level is 6.43 states/eV per cell.

=====

[4]
Material: Cr2BiMoOsRh
Method: DFT, PBE
State: optimized geometry

Unit cell a=3.0037 b=4.1807 c=8.0464 alpha=90.00 beta=90.00 gamma=90.00
Space group Pmm2 (No. 25)
Asymmetric unit:
Cr 0.0000 0.0000 0.0000 [1 per cell]
Cr 0.5000 0.0000 0.2384 [1 per cell]
Bi 0.0000 0.5000 0.5707 [1 per cell]
Mo 0.5000 0.5000 0.9542 [1 per cell]
Os 0.0000 0.5000 0.2221 [1 per cell]
Rh 0.5000 0.0000 0.7291 [1 per cell]

Properties
Its density of states at the Fermi level is 5.66 states/eV per cell.

=====

[5]
Material: Cr2BiMoOsRh
Method: DFT, PBE
State: optimized geometry

Unit cell a=9.1998 b=3.0346 c=7.2341 alpha=90.00 beta=107.36 gamma=90.00
Space group Cm (No. 8)
Asymmetric unit:
Cr 0.0000 0.0000 0.0000 [2 per cell]
Cr 0.0405 0.5000 0.7636 [2 per cell]
Bi 0.0444 0.0000 0.4036 [2 per cell]
Mo 0.2745 0.0000 0.9019 [2 per cell]
Os 0.3093 0.5000 0.6155 [2 per cell]
Rh 0.2320 0.5000 0.1905 [2 per cell]

Properties
Its density of states at the Fermi level is 10.36 states/eV per cell.

=====

[6]
Material: Cr2BiMoOsRh
Method: DFT, PBE
State: optimized geometry

Unit cell a=13.6674 b=3.0452 c=4.5206 alpha=90.00 beta=92.01 gamma=90.00
Space group Cm (No. 8)
Asymmetric unit:
Cr 0.0000 0.0000 0.0000 [2 per cell]
Cr 0.1203 0.5000 0.9954 [2 per cell]
Bi 0.3042 0.0000 0.1689 [2 per cell]
Mo 0.1414 0.0000 0.5292 [2 per cell]
Os 0.4842 0.0000 0.4819 [2 per cell]
Rh 0.3224 0.5000 0.6949 [2 per cell]

Properties
Its density of states at the Fermi level is 9.27 states/eV per cell.

=====

| no. | formation energy (eV/atom) | mass density (kg/m³) |
| --- | --- | --- |
| 1 | 0.426 | 12104 |
| 2 | 0.367 | 12149 |
| 3 | 0.325 | 11588 |
| 4 | 0.292 | 11537 |
| 5 | 0.337 | 12095 |
| 6 | 0.312 | 12400 |